# BaSrCd2 (GGA-PBE, optimized geometry)
# **Formation energy**: -0.198 eV/atom
# **SG**: P4mm
data_BaSrCd2
_chemical_formula_sum 'Ba1 Sr1 Cd2'
_cell_length_a 4.175
_cell_length_b 4.175
_cell_length_c 8.790
_cell_angle_alpha 90.00
_cell_angle_beta 90.00
_cell_angle_gamma 90.00
_space_group_name_H-M_alt 'P 1'
_space_group_IT_number 1
loop_
_space_group_symop_operation_xyz
'x,y,z'
loop_
_atom_site_label
_atom_site_type_symbol
_atom_site_fract_x
_atom_site_fract_y
_atom_site_fract_z
_atom_site_occupancy
Ba1 Ba 0.000 0.000 0.000 1
Sr1 Sr 0.500 0.500 0.616 1
Cd1 Cd 0.000 0.000 0.406 1
Cd2 Cd 0.500 0.500 0.231 1